Entry from Alexandria: an optimized crystal structure of SrTbSi4 (PBE).

Unit cell a=4.3405 b=7.6577 c=16.0936 alpha=90.00 beta=90.00 gamma=90.00
Fractional coordinates of all 24 atoms:
Sr 0.0000 0.8735 0.8420
Si 0.5000 0.8689 0.4567
Tb 0.0000 0.1319 0.4120
Si 0.5000 0.2161 0.8052
Tb 0.0000 0.6319 0.0880
Tb 0.0000 0.3681 0.9120
Si 0.5000 0.6311 0.9567
Si 0.5000 0.6172 0.5496
Si 0.5000 0.1172 0.9504
Si 0.5000 0.5272 0.8093
Sr 0.0000 0.3735 0.6580
Si 0.5000 0.1311 0.5433
Si 0.5000 0.2839 0.3052
Si 0.5000 0.9728 0.3093
Sr 0.0000 0.6265 0.3420
Si 0.5000 0.4728 0.1907
Si 0.5000 0.0272 0.6907
Si 0.5000 0.8828 0.0496
Sr 0.0000 0.1265 0.1580
Si 0.5000 0.7839 0.1948
Si 0.5000 0.3828 0.4504
Si 0.5000 0.3689 0.0433
Tb 0.0000 0.8681 0.5880
Si 0.5000 0.7161 0.6948

Properties
Formation energy without anion corrections, eV/atom: -0.384
Volume, Å³/cell: 534.9
Density of states at the Fermi level, states/eV/f.u.: 2.39

Entry from Alexandria: an optimized crystal structure of Cd8Pb (PBE).

Unit cell a=5.4568 b=9.7909 c=5.8443 alpha=71.89 beta=60.68 gamma=52.44
Fractional coordinates of all 9 atoms:
Cd 0.0058 0.3378 0.6547
Cd 0.6716 0.0009 0.6597
Cd 0.6680 0.3357 0.3390
Cd 0.3237 0.3399 0.9946
Cd 0.6763 0.6601 0.0054
Pb 0.0000 0.0000 0.0000
Cd 0.9942 0.6622 0.3453
Cd 0.3320 0.6643 0.6610
Cd 0.3284 0.9991 0.3403

Properties
DFT total energy, eV/atom: -1.197
Volume, Å³/cell: 215.8
Density of states at the Fermi level, states/eV/f.u.: 2.94

Entry from Alexandria: an optimized crystal structure of SrCoHg4 (PBE).

Unit cell a=5.9439 b=5.9439 c=5.9439 alpha=60.00 beta=60.00 gamma=60.00
Fractional coordinates of all 6 atoms:
Sr 0.7500 0.7500 0.7500
Hg 0.8770 0.3743 0.3743
Hg 0.3743 0.3743 0.3743
Co 0.0000 0.0000 0.0000
Hg 0.3743 0.8770 0.3743
Hg 0.3743 0.3743 0.8770

Properties
DFT total energy, eV/atom: -1.446
Volume, Å³/cell: 148.5
Density of states at the Fermi level, states/eV/f.u.: 4.59

Entry from Alexandria: an optimized crystal structure of AcNd2Cl (PBE).

Unit cell a=3.6278 b=3.6278 c=11.8638 alpha=81.21 beta=81.21 gamma=60.00
Fractional coordinates of all 4 atoms:
Cl 0.5000 0.5000 0.5000
Nd 0.8973 0.8973 0.3081
Nd 0.1027 0.1027 0.6919
Ac 0.0000 0.0000 0.0000

Properties
Formation energy without anion corrections, eV/atom: -0.471
Volume, Å³/cell: 133.1
Density of states at the Fermi level, states/eV/f.u.: 5.42

Entry from Alexandria: an optimized crystal structure of RbGa2Bi2 (PBE).

Unit cell a=4.7835 b=4.7835 c=8.3538 alpha=73.36 beta=73.36 gamma=90.00
Fractional coordinates of all 5 atoms:
Ga 0.2500 0.7500 0.5000
Bi 0.3600 0.3600 0.2801
Rb 0.0000 0.0000 0.0000
Ga 0.7500 0.2500 0.5000
Bi 0.6400 0.6400 0.7199

Properties
DFT total energy, eV/atom: -3.146
Volume, Å³/cell: 174.8
Density of states at the Fermi level, states/eV/f.u.: 0.81

Entry from Alexandria: an optimized crystal structure of Ba2TaZnO6 (PBE).

Unit cell a=5.9041 b=5.9041 c=10.4478 alpha=73.59 beta=73.59 gamma=60.00
Fractional coordinates of all 20 atoms:
O 0.1495 0.6087 0.6331
Ba 0.2871 0.2871 0.1386
O 0.3913 0.8505 0.3669
Zn 0.5000 0.5000 0.5000
O 0.2122 0.7004 0.8752
O 0.7004 0.2122 0.8752
O 0.3913 0.3913 0.3669
O 0.7878 0.2996 0.1248
O 0.6087 0.1495 0.6331
Ta 0.5928 0.5928 0.2216
O 0.6087 0.6087 0.6331
Ta 0.4072 0.4072 0.7784
O 0.2122 0.2122 0.8752
O 0.7878 0.7878 0.1248
Ba 0.7129 0.7129 0.8614
O 0.2996 0.7878 0.1248
O 0.8505 0.3913 0.3669
Ba 0.8694 0.8694 0.3917
Ba 0.1306 0.1306 0.6083
Zn 0.0000 0.0000 0.0000

Properties
Formation energy without anion corrections, eV/atom: -2.413
Volume, Å³/cell: 298.1
Density of states at the Fermi level, states/eV/f.u.: 3.36

Entry from Alexandria: an optimized crystal structure of Pm5Sb4I (PBE).

Unit cell a=6.3445 b=7.8016 c=7.8016 alpha=80.48 beta=66.01 gamma=66.01
Fractional coordinates of all 10 atoms:
I 0.0013 0.0000 0.0000
Sb 0.6060 0.5987 0.1914
Pm 0.5012 0.0000 0.0000
Pm 0.8966 0.4202 0.7884
Pm 0.6851 0.2116 0.4202
Sb 0.7973 0.8086 0.5987
Pm 0.1053 0.5798 0.2116
Pm 0.3169 0.7884 0.5798
Sb 0.2046 0.1914 0.4013
Sb 0.3960 0.4013 0.8086

Properties
Formation energy without anion corrections, eV/atom: -1.158
Volume, Å³/cell: 322.3
Density of states at the Fermi level, states/eV/f.u.: 3.52

Entry from Alexandria: an optimized crystal structure of Dy3Ni8Pd (PBE).

Unit cell a=4.9871 b=4.9871 c=8.6518 alpha=73.25 beta=73.25 gamma=60.00
Fractional coordinates of all 12 atoms:
Dy 0.5082 0.5082 0.4755
Ni 0.4390 0.9381 0.6849
Dy 0.3774 0.3774 0.8678
Dy 0.9893 0.9893 0.0320
Ni 0.4362 0.4362 0.1858
Ni 0.9417 0.4362 0.1858
Ni 0.6880 0.6880 0.9361
Ni 0.1877 0.1877 0.4369
Ni 0.9381 0.9381 0.6849
Pd 0.8702 0.8702 0.3895
Ni 0.4362 0.9417 0.1858
Ni 0.9381 0.4390 0.6849

Properties
DFT total energy, eV/atom: -5.870
Volume, Å³/cell: 175.7
Density of states at the Fermi level, states/eV/f.u.: 14.42